The following is a GGA-PBE calculation of TcPPb after structural relaxation, from Alexandria via LeMat-Bulk.

Unit cell a=3.9393 b=3.9393 c=4.8796 alpha=90.00 beta=90.00 gamma=120.00
Space group P-6m2 (No. 187)
Unique sites:
Tc: 0.0000 0.0000 0.0000 [1 per cell]
P: 0.6667 0.3333 0.0000 [1 per cell]
Pb: 0.3333 0.6667 0.5000 [1 per cell]

Properties
Relative energy among the computed polymorphs (meV per atom): 370.8
Theoretical density (g/cm³): 8.513
DFT formation energy (eV per atom): 0.176